DFT (GGA-PBE) results for a geometry-optimized LiRhW structure.

The structure belongs to space group Fmm2 (No. 42); the cell edges are 2.950, 4.505 and 13.590 Å and the angles 90.00°, 90.00° and 90.00°. Symmetry generates all atoms from Li at (0.000, 0.000, 0.000), Rh at (0.000, 0.000, 0.339) and W at (0.000, 0.000, 0.679).

Its formation energy is 164 meV per atom. As for the crystal system: orthorhombic. For the magnetization, the calculation gives 0.0 μB/f.u.

DFT (GGA-PBE) results for a geometry-optimized Tb12Ho7Mg structure.

The structure belongs to space group R-3 (No. 148, hexagonal axes); the cell edges are 11.9153, 11.9153 and 15.7630 Å and the angles 90.00°, 90.00° and 120.00°. Symmetry generates all atoms from Tb at (0.0303, 0.5745, 0.2183), Tb at (0.0538, 0.4671, 0.5838), Ho at (0.0000, 0.0000, 0.0000), Ho at (0.0553, 0.8659, 0.2947) and Mg at (0.0000, 0.0000, 0.5000).

Its formation energy is 214 meV per atom. As for the crystal system: trigonal. For the magnetization, the calculation gives 0.0 μB/f.u.

DFT (GGA-PBE) results for a geometry-optimized Cs2SrHg2 structure.

The structure belongs to space group P4/mbm (No. 127); the cell edges are 8.945, 8.945 and 6.207 Å and the angles 90.00°, 90.00° and 90.00°. Symmetry generates all atoms from Cs at (0.170, 0.330, 0.000), Sr at (0.000, 0.000, 0.500) and Hg at (0.126, 0.626, 0.500).

Its formation energy is -177 meV per atom. As for the crystal system: tetragonal. For the magnetization, the calculation gives 0.0 μB/f.u.

| no. | E (eV for the cell shown) |
| --- | --- |
| 1 | -86.905 |
| 2 | -254.760 |
| 3 | -9.758 |